The following is a PBE-GGA calculation of crystalline AlRuRh at its relaxed geometry, from Alexandria via LeMat-Bulk.

Lattice parameters (Å, degrees): 5.360 5.360 5.360 148.66 148.66 44.91
Element x y z (fractional)
Al (0.000, 0.000, 0.000)
Ru (0.657, 0.657, 0.000)
Rh (0.344, 0.344, 0.000)

Properties
energy above the most stable polymorph in this dataset: 0 meV per atom
DFT formation energy: -424 meV/atom
spin magnetization: 0.00 μB/f.u.